(1)
Density functional theory data (PBE) for a geometry-optimized Na2CeTaO6 structure.

Computed properties:
Calculated density in g cm⁻³: 5.6
Formation energy (no corrections) in kJ per mole of atoms: -238.4

```
data_Na2CeTaO6
_chemical_formula_sum 'Na4 Ce2 Ta2 O12'
_space_group_name_H-M_alt 'P 1 21/c 1'
_space_group_IT_number 14
_cell_length_a 5.738
_cell_length_b 5.882
_cell_length_c 10.012
_cell_angle_alpha 90.00
_cell_angle_beta 124.93
_cell_angle_gamma 90.00
loop_
_space_group_symop_operation_xyz
'x,y,z'
'-x,-y,-z'
'-x,y+1/2,-z+1/2'
'x,-y+1/2,z+1/2'
loop_
_atom_site_label
_atom_site_type_symbol
_atom_site_fract_x
_atom_site_fract_y
_atom_site_fract_z
_atom_site_occupancy
Na1 Na 0.245 0.034 0.253 1
Ce1 Ce 0.500 0.000 0.000 1
Ta1 Ta 0.000 0.000 0.500 1
O1 O 0.136 0.222 0.948 1
O2 O 0.238 0.692 0.957 1
O3 O 0.326 0.032 0.734 1
```

(2)
Density functional theory data (PBE) for a geometry-optimized NaCeTaO5 structure.

Computed properties:
Calculated density in g cm⁻³: 5.2
Formation energy (no corrections) in kJ per mole of atoms: -272.3

```
data_NaCeTaO5
_chemical_formula_sum 'Na4 Ce4 Ta4 O20'
_space_group_name_H-M_alt 'C 1 2/c 1'
_space_group_IT_number 15
_cell_length_a 7.237
_cell_length_b 10.167
_cell_length_c 8.004
_cell_angle_alpha 90.00
_cell_angle_beta 112.52
_cell_angle_gamma 90.00
loop_
_space_group_symop_operation_xyz
'x,y,z'
'-x,-y,-z'
'-x,y,-z+1/2'
'x,-y,z+1/2'
'x+1/2,y+1/2,z'
'-x+1/2,-y+1/2,-z'
'-x+1/2,y+1/2,-z+1/2'
'x+1/2,-y+1/2,z+1/2'
loop_
_atom_site_label
_atom_site_type_symbol
_atom_site_fract_x
_atom_site_fract_y
_atom_site_fract_z
_atom_site_occupancy
Na1 Na 0.000 0.190 0.250 1
Ce1 Ce 0.000 0.500 0.000 1
Ta1 Ta 0.000 0.189 0.750 1
O1 O 0.000 0.424 0.250 1
O2 O 0.128 0.298 0.637 1
O3 O 0.182 0.081 0.923 1
```

(3)
Density functional theory data (PBE) for a geometry-optimized Na3Tb2CeO6 structure.

Computed properties:
Calculated density in g cm⁻³: 5.8
Formation energy (no corrections) in kJ per mole of atoms: -261.1

```
data_Na3Tb2CeO6
_chemical_formula_sum 'Na6 Tb4 Ce2 O12'
_space_group_name_H-M_alt 'C 1 2/m 1'
_space_group_IT_number 12
_cell_length_a 6.062
_cell_length_b 10.504
_cell_length_c 5.963
_cell_angle_alpha 90.00
_cell_angle_beta 109.77
_cell_angle_gamma 90.00
loop_
_space_group_symop_operation_xyz
'x,y,z'
'-x,-y,-z'
'-x,y,-z'
'x,-y,z'
'x+1/2,y+1/2,z'
'-x+1/2,-y+1/2,-z'
'-x+1/2,y+1/2,-z'
'x+1/2,-y+1/2,z'
loop_
_atom_site_label
_atom_site_type_symbol
_atom_site_fract_x
_atom_site_fract_y
_atom_site_fract_z
_atom_site_occupancy
Na1 Na 0.000 0.000 0.000 1
Na2 Na 0.000 0.330 0.000 1
Tb1 Tb 0.000 0.167 0.500 1
Ce1 Ce 0.000 0.500 0.500 1
O1 O 0.230 0.000 0.713 1
O2 O 0.241 0.329 0.713 1
```

(4)
Density functional theory data (PBE) for a geometry-optimized Na2TbCeO4 structure.

Computed properties:
Calculated density in g cm⁻³: 5.6
Formation energy (no corrections) in kJ per mole of atoms: -257.6

```
data_Na2TbCeO4
_chemical_formula_sum 'Na2 Tb1 Ce1 O4'
_space_group_name_H-M_alt 'P 1 2/m 1'
_space_group_IT_number 10
_cell_length_a 5.976
_cell_length_b 3.518
_cell_length_c 6.106
_cell_angle_alpha 90.00
_cell_angle_beta 109.90
_cell_angle_gamma 90.00
loop_
_space_group_symop_operation_xyz
'x,y,z'
'-x,-y,-z'
'-x,y,-z'
'x,-y,z'
loop_
_atom_site_label
_atom_site_type_symbol
_atom_site_fract_x
_atom_site_fract_y
_atom_site_fract_z
_atom_site_occupancy
Na1 Na 0.000 0.000 0.000 1
Na2 Na 0.000 0.500 0.500 1
Tb1 Tb 0.500 0.000 0.500 1
Ce1 Ce 0.500 0.500 0.000 1
O1 O 0.284 0.000 0.754 1
O2 O 0.288 0.500 0.269 1
```

(5)
Density functional theory data (PBE) for a geometry-optimized NaCeTc2O8 structure.

Computed properties:
Calculated density in g cm⁻³: 5.0
Formation energy (no corrections) in kJ per mole of atoms: -183.6

```
data_NaCeTc2O8
_chemical_formula_sum 'Na2 Ce2 Tc4 O16'
_space_group_name_H-M_alt 'I -4'
_space_group_IT_number 82
_cell_length_a 5.305
_cell_length_b 5.305
_cell_length_c 11.606
_cell_angle_alpha 90.00
_cell_angle_beta 90.00
_cell_angle_gamma 90.00
loop_
_space_group_symop_operation_xyz
'x,y,z'
'y,-x,-z'
'-x,-y,z'
'-y,x,-z'
'x+1/2,y+1/2,z+1/2'
'y+1/2,-x+1/2,-z+1/2'
'-x+1/2,-y+1/2,z+1/2'
'-y+1/2,x+1/2,-z+1/2'
loop_
_atom_site_label
_atom_site_type_symbol
_atom_site_fract_x
_atom_site_fract_y
_atom_site_fract_z
_atom_site_occupancy
Na1 Na 0.000 0.000 0.000 1
Ce1 Ce 0.000 0.500 0.750 1
Tc1 Tc 0.000 0.000 0.500 1
Tc2 Tc 0.000 0.500 0.250 1
O1 O 0.142 0.245 0.586 1
O2 O 0.159 0.747 0.171 1
```

(6)
Density functional theory data (PBE) for a geometry-optimized Na4CeTc3O12 structure.

Computed properties:
Calculated density in g cm⁻³: 4.6
Formation energy (no corrections) in kJ per mole of atoms: -166.9

```
data_Na4CeTc3O12
_chemical_formula_sum 'Na8 Ce2 Tc6 O24'
_space_group_name_H-M_alt 'I m -3 m'
_space_group_IT_number 229
_space_group_name_Hall '-I 4 2 3'
_cell_length_a 8.030
_cell_length_b 8.030
_cell_length_c 8.030
_cell_angle_alpha 90.00
_cell_angle_beta 90.00
_cell_angle_gamma 90.00
loop_
_atom_site_label
_atom_site_type_symbol
_atom_site_fract_x
_atom_site_fract_y
_atom_site_fract_z
_atom_site_occupancy
Na1 Na 0.250 0.250 0.250 1
Ce1 Ce 0.000 0.000 0.000 1
Tc1 Tc 0.000 0.000 0.500 1
O1 O 0.000 0.000 0.267 1
O2 O 0.000 0.250 0.500 1
```